Record 1
MnCrIn2 | GGA-PBEsol | optimized geometry

## Properties
ΔE_f: 0.362 eV/atom
symmetry: Cmmm, No. 65
spin magnetization: 5.88 μB per formula unit
N(E_F): 3.0 states/eV/cell
VASP energy: -6.1298 eV/atom

```
MnCrIn2
1.0
-0.0011 2.1563 2.0690
1.2141 -3.2076 3.3447
4.2270 1.5623 -1.6251
Cr In Mn
1 2 1
Direct
0.5000 0.0000 0.0000
0.0000 0.0000 0.5000
0.0000 0.5000 0.0000
0.5000 0.5000 0.5000
```



Record 2
Mn2SiO4 | GGA-PBEsol | optimized geometry

## Properties
uncorrected formation energy: -1.88 eV per atom
symmetry: Pnma, No. 62
spin magnetization: 10.00 μB per formula unit
VASP energy: -8.4887 eV/atom

```
Mn2SiO4
1.0
-2.3215 3.4131 -2.6122
0.3310 -3.6383 -5.0479
-9.2636 -4.3605 2.5354
Si Mn O
4 8 16
Direct
0.5713 0.2500 0.4034
0.0713 0.7500 0.0966
0.4287 0.7500 0.5966
0.9287 0.2500 0.9034
0.5144 0.7500 0.2801
0.4856 0.2500 0.7199
0.5000 0.5000 0.0000
0.5000 0.0000 0.0000
0.0144 0.2500 0.2199
0.9856 0.7500 0.7801
0.0000 0.5000 0.5000
0.0000 0.0000 0.5000
0.7887 0.2500 0.0480
0.2887 0.7500 0.4520
0.2113 0.7500 0.9520
0.7113 0.2500 0.5480
0.2633 0.2500 0.9066
0.7633 0.7500 0.5934
0.7367 0.7500 0.0934
0.2367 0.2500 0.4066
0.2865 0.5389 0.6647
0.7865 0.4611 0.8353
0.7135 0.0389 0.3353
0.2135 0.9611 0.1647
0.7135 0.4611 0.3353
0.2135 0.5389 0.1647
0.2865 0.9611 0.6647
0.7865 0.0389 0.8353
```



Record 3
Li4CaAg | GGA-PBEsol | optimized geometry

## Properties
ΔE_f: -0.011 eV/atom
symmetry: F-43m, No. 216
spin magnetization: 0.00 μB per formula unit
N(E_F): 3.7 states/eV/cell
VASP energy: -2.2291 eV/atom

```
Li4CaAg
1.0
5.5280 0.0000 0.0000
2.7640 4.7874 0.0000
2.7640 1.5958 4.5136
Ca Ag Li
1 1 4
Direct
0.0000 0.0000 0.0000
0.7500 0.7500 0.7500
0.3772 0.3772 0.3772
0.3772 0.3772 0.8685
0.8685 0.3772 0.3772
0.3772 0.8685 0.3772
```



Record 4
TiCo2Si | GGA-PBEsol | optimized geometry

## Properties
uncorrected formation energy: -0.04 eV per atom
symmetry: I-42d, No. 122
spin magnetization: 0.00 μB per formula unit
N(E_F): 7.1 states/eV/cell
VASP energy: -7.4226 eV/atom

```
TiCo2Si
1.0
-4.0140 -2.3407 -2.1423
1.3075 -1.2043 4.7980
-1.3073 4.9431 0.1930
Si Co Ti
2 4 2
Direct
0.7500 0.2500 0.5000
0.5000 0.5000 0.0000
0.8537 0.8750 0.4787
0.3963 0.3750 0.5213
0.6250 0.1463 0.0213
0.1250 0.6037 0.9787
0.2500 0.7500 0.5000
0.0000 0.0000 0.0000
```



Record 5
Ca2Sb2O7 | GGA-PBEsol | optimized geometry

## Properties
uncorrected formation energy: -2.17 eV per atom
symmetry: Fd-3m, No. 227
spin magnetization: 0.00 μB per formula unit
N(E_F): 6.0 states/eV/cell
VASP energy: -6.7241 eV/atom

```
Ca2Sb2O7
1.0
-1.9541 -1.2521 -6.9501
-4.1600 -5.8025 -1.6475
-6.9616 0.9544 -2.0772
Ca Sb O
4 4 14
Direct
0.6250 0.6250 0.6250
0.6250 0.6250 0.1250
0.6250 0.1250 0.6250
0.1250 0.6250 0.6250
0.1250 0.1250 0.1250
0.1250 0.1250 0.6250
0.1250 0.6250 0.1250
0.6250 0.1250 0.1250
0.8000 0.8000 0.2000
0.2000 0.2000 0.8000
0.8000 0.2000 0.8000
0.2000 0.8000 0.2000
0.8000 0.2000 0.2000
0.2000 0.8000 0.8000
0.4500 0.4500 0.0500
0.0500 0.0500 0.4500
0.4500 0.0500 0.4500
0.0500 0.4500 0.0500
0.4500 0.0500 0.0500
0.0500 0.4500 0.4500
0.7500 0.7500 0.7500
0.5000 0.5000 0.5000
```



Record 6
Nb3SnBi | GGA-PBEsol | optimized geometry

## Properties
ΔE_f: 1.744 eV/atom
symmetry: Pm-3m, No. 221
spin magnetization: 0.00 μB per formula unit
N(E_F): 7.4 states/eV/cell
VASP energy: -6.4579 eV/atom

```
Nb3SnBi
1.0
5.0952 0.0000 0.0000
0.0000 5.0952 0.0000
0.0000 0.0000 5.0952
Nb Bi Sn
3 1 1
Direct
0.0000 0.5000 0.0000
0.0000 0.0000 0.5000
0.5000 0.0000 0.0000
0.0000 0.0000 0.0000
0.5000 0.5000 0.5000
```



Record 7
K2YRe | GGA-PBEsol | optimized geometry

## Properties
ΔE_f: 1.223 eV/atom
symmetry: C2/m, No. 12
spin magnetization: 0.00 μB per formula unit
N(E_F): 4.1 states/eV/cell
VASP energy: -4.3820 eV/atom

```
K2YRe
1.0
3.1106 0.0398 0.0000
-0.2854 5.2012 0.0000
-1.4126 -2.6205 6.4805
K Re Y
2 1 1
Direct
0.5000 0.5000 0.5000
0.0000 0.0000 0.5000
0.0000 0.5000 0.0000
0.5000 0.0000 0.0000
```



Record 8
Cs2YAuBr6 | GGA-PBEsol | optimized geometry

## Properties
uncorrected formation energy: -1.44 eV per atom
symmetry: Fm-3m, No. 225
spin magnetization: 0.00 μB per formula unit
N(E_F): 0.0 states/eV/cell
VASP energy: -3.8245 eV/atom

```
Cs2YAuBr6
1.0
-4.2127 -2.1923 -6.2422
3.6043 -1.7803 -6.7348
0.2361 -7.4391 -2.4743
Cs Y Au Br
2 1 1 6
Direct
0.7500 0.7500 0.7500
0.2500 0.2500 0.2500
0.0000 0.0000 0.0000
0.5000 0.5000 0.5000
0.7512 0.2488 0.2488
0.7512 0.7512 0.2488
0.2488 0.7512 0.7512
0.7512 0.2488 0.7512
0.2488 0.7512 0.2488
0.2488 0.2488 0.7512
```



Record 9
NaLa2Pd2 | GGA-PBEsol | optimized geometry

## Properties
ΔE_f: -0.532 eV/atom
symmetry: P4/mbm, No. 127
spin magnetization: 0.00 μB per formula unit
N(E_F): 6.5 states/eV/cell
VASP energy: -5.3338 eV/atom

```
NaLa2Pd2
1.0
-3.3650 1.8536 0.5107
-3.6441 -7.0147 1.4485
1.6172 0.7774 7.8335
Na Pd La
2 4 4
Direct
0.0000 0.0000 0.0000
0.0000 0.5000 0.5000
0.0000 0.3699 0.8699
0.0000 0.8699 0.6301
0.0000 0.6301 0.1301
0.0000 0.1301 0.3699
0.5000 0.1625 0.6625
0.5000 0.6625 0.8375
0.5000 0.8375 0.3375
0.5000 0.3375 0.1625
```



Record 10
CoNiIr2 | GGA-PBEsol | optimized geometry

## Properties
ΔE_f: 0.052 eV/atom
symmetry: Cmmm, No. 65
spin magnetization: 1.18 μB per formula unit
N(E_F): 5.4 states/eV/cell
VASP energy: -8.3335 eV/atom

```
CoNiIr2
1.0
2.6343 0.0000 0.0000
0.0000 4.4063 0.0118
0.0000 -1.2814 4.2158
Ni Ir Co
1 2 1
Direct
0.5000 0.0000 0.0000
0.0000 0.5000 0.0000
0.0000 0.0000 0.5000
0.5000 0.5000 0.5000
```



Record 11
Y2AgP | GGA-PBEsol | optimized geometry

## Properties
ΔE_f: -0.858 eV/atom
symmetry: Amm2, No. 38
spin magnetization: 0.00 μB per formula unit
N(E_F): 4.2 states/eV/cell
VASP energy: -6.5452 eV/atom

```
Y2AgP
1.0
3.9787 0.0000 0.0000
0.0000 4.0835 0.0000
-1.9894 0.0000 5.3701
Y P Ag
2 1 1
Direct
0.0216 0.0000 0.0431
0.7362 0.5000 0.4725
0.2895 0.0000 0.5790
0.4527 0.5000 0.9054
```



Record 12
KMgSeN2 | GGA-PBEsol | optimized geometry

## Properties
uncorrected formation energy: 0.83 eV per atom
symmetry: P4/mmm, No. 123
spin magnetization: 5.01 μB per formula unit
N(E_F): 2.6 states/eV/cell
VASP energy: -3.9173 eV/atom

```
KMgSeN2
1.0
4.4221 0.0000 0.0000
0.0000 4.4221 0.0000
0.0000 0.0000 5.1900
K Mg Se N
1 1 1 2
Direct
0.5000 0.5000 0.5000
0.0000 0.0000 0.0000
0.0000 0.0000 0.5000
0.0000 0.5000 0.0000
0.5000 0.0000 0.0000
```



Record 13
CaTl4 | GGA-PBEsol | optimized geometry

## Properties
ΔE_f: 0.207 eV/atom
symmetry: Im-3m, No. 229
spin magnetization: 0.00 μB per formula unit
N(E_F): 5.4 states/eV/cell
VASP energy: -2.3240 eV/atom

```
CaTl4
1.0
6.0771 0.0000 0.0000
-2.0257 5.7295 0.0000
-2.0257 -2.8648 4.9619
Ca Tl
1 4
Direct
0.0000 0.0000 0.0000
0.0000 0.0000 0.5000
0.0000 0.5000 0.0000
0.5000 0.0000 0.0000
0.5000 0.5000 0.5000
```



Record 14
CaNiAu | GGA-PBEsol | optimized geometry

## Properties
ΔE_f: -0.328 eV/atom
symmetry: P-6m2, No. 187
spin magnetization: 0.00 μB per formula unit
N(E_F): 2.6 states/eV/cell
VASP energy: -4.3999 eV/atom

```
CaNiAu
1.0
-1.8865 2.5587 -2.1420
-2.4313 -3.1019 -1.5639
-1.1895 2.0610 3.5095
Ni Ca Au
1 1 1
Direct
0.5000 0.6667 0.3333
0.0000 0.3333 0.6667
0.5000 0.0000 0.0000
```



Record 15
LiCd2Ag | GGA-PBEsol | optimized geometry

## Properties
ΔE_f: -0.193 eV/atom
symmetry: P4/mmm, No. 123
spin magnetization: 0.00 μB per formula unit
N(E_F): 1.2 states/eV/cell
VASP energy: -2.1114 eV/atom

```
LiCd2Ag
1.0
-3.8741 0.1360 0.2365
-0.2529 -3.7948 -1.9601
0.1625 -1.9707 3.7943
Cd Ag Li
2 1 1
Direct
0.0000 0.0000 0.5000
0.0000 0.5000 0.0000
0.5000 0.0000 0.0000
0.5000 0.5000 0.5000
```



Record 16
ZrPRh2 | GGA-PBEsol | optimized geometry

## Properties
ΔE_f: -0.612 eV/atom
symmetry: Pmm2, No. 25
spin magnetization: 0.00 μB per formula unit
N(E_F): 1.9 states/eV/cell
VASP energy: -8.4017 eV/atom

```
ZrPRh2
1.0
-0.3076 0.9622 2.9243
2.4240 -2.5402 1.0909
3.9773 3.4830 -0.7277
P Rh Zr
1 2 1
Direct
0.5000 0.5000 0.8132
0.0000 0.0000 0.9563
0.5000 0.5000 0.2520
0.0000 0.0000 0.4785
```



Record 17
GdScS3 | GGA-PBEsol | optimized geometry

## Properties
uncorrected formation energy: -2.05 eV per atom
symmetry: Pnma, No. 62
spin magnetization: 7.00 μB per formula unit
VASP energy: -8.8962 eV/atom

```
GdScS3
1.0
-0.8764 4.4151 -4.4064
3.9309 -3.6924 -4.4815
-7.6489 -4.5075 -2.9952
Gd Sc S
4 4 12
Direct
0.0418 0.1049 0.2500
0.9582 0.8951 0.7500
0.4582 0.6049 0.2500
0.5418 0.3951 0.7500
0.5000 0.0000 0.5000
0.0000 0.5000 0.0000
0.0000 0.5000 0.5000
0.5000 0.0000 0.0000
0.3284 0.3165 0.4322
0.6716 0.6835 0.9322
0.3284 0.3165 0.0678
0.8284 0.1835 0.5678
0.1716 0.8165 0.4322
0.1416 0.5437 0.7500
0.8584 0.4563 0.2500
0.6416 0.9563 0.2500
0.8284 0.1835 0.9322
0.3584 0.0437 0.7500
0.6716 0.6835 0.5678
0.1716 0.8165 0.0678
```



Record 18
MnHgRu | GGA-PBEsol | optimized geometry

## Properties
ΔE_f: 0.530 eV/atom
symmetry: P-6m2, No. 187
spin magnetization: 2.34 μB per formula unit
N(E_F): 4.3 states/eV/cell
VASP energy: -6.3034 eV/atom

```
MnHgRu
1.0
-0.9692 -0.2185 -2.6858
3.0225 -2.9048 -0.8544
-3.8142 -1.2530 1.4784
Hg Mn Ru
1 1 1
Direct
0.0002 0.0000 0.0000
0.4994 0.3333 0.6667
0.5004 0.6667 0.3333
```



Record 19
FeAg2GeIr | GGA-PBEsol | optimized geometry

## Properties
ΔE_f: 1.325 eV/atom
symmetry: P4/mmm, No. 123
spin magnetization: 3.03 μB per formula unit
N(E_F): 5.8 states/eV/cell
VASP energy: -4.7442 eV/atom

```
FeAg2GeIr
1.0
-1.6709 -2.7153 -2.9579
-1.9695 -2.4280 3.3415
-3.7376 2.6233 -0.2969
Ge Ir Fe Ag
1 1 1 2
Direct
0.0000 0.0000 0.0000
0.5000 0.5000 0.5000
0.5000 0.0000 0.0000
0.0000 0.0000 0.5000
0.0000 0.5000 0.0000
```



Record 20
Re3NiBi | GGA-PBEsol | optimized geometry

## Properties
ΔE_f: 1.801 eV/atom
symmetry: Pm-3m, No. 221
spin magnetization: 1.94 μB per formula unit
N(E_F): 9.4 states/eV/cell
VASP energy: -8.2871 eV/atom

```
Re3NiBi
1.0
-3.4167 1.7347 -2.3416
0.0145 -3.5983 -2.6867
-2.9141 -2.0517 2.7322
Re Bi Ni
3 1 1
Direct
0.0000 0.5000 0.0000
0.0000 0.0000 0.5000
0.5000 0.0000 0.0000
0.5000 0.5000 0.5000
0.0000 0.0000 0.0000
```



Record 21
Ag3Pt5 | GGA-PBEsol | optimized geometry

## Properties
ΔE_f: -0.008 eV/atom
symmetry: Amm2, No. 38
spin magnetization: 0.00 μB per formula unit
N(E_F): 7.0 states/eV/cell
VASP energy: -5.6020 eV/atom

```
Ag3Pt5
1.0
2.7647 0.0000 0.0000
0.0000 5.6002 0.0000
0.0000 -2.8001 7.9646
Pt Ag
5 3
Direct
0.0000 0.7582 0.5049
0.0000 0.4798 0.0000
0.5000 0.3860 0.2583
0.0000 0.2533 0.4951
0.5000 0.1277 0.7417
0.0000 0.9960 0.0000
0.5000 0.8723 0.2457
0.5000 0.6266 0.7543
```



Record 22
Ba2ZrRh | GGA-PBEsol | optimized geometry

## Properties
ΔE_f: 0.508 eV/atom
symmetry: P4/mmm, No. 123
spin magnetization: 2.43 μB per formula unit
N(E_F): 3.9 states/eV/cell
VASP energy: -4.8734 eV/atom

```
Ba2ZrRh
1.0
3.4963 0.0000 0.0000
0.0000 3.4963 0.0000
0.0000 0.0000 9.7399
Ba Rh Zr
2 1 1
Direct
0.0000 0.0000 0.8006
0.0000 0.0000 0.1994
0.5000 0.5000 0.0000
0.5000 0.5000 0.5000
```



Record 23
SbTe2WI | GGA-PBEsol | optimized geometry

## Properties
uncorrected formation energy: 0.41 eV per atom
symmetry: P4/mmm, No. 123
spin magnetization: 0.00 μB per formula unit
N(E_F): 3.8 states/eV/cell
VASP energy: -5.0241 eV/atom

```
SbTe2WI
1.0
5.1872 0.0000 0.0000
0.0000 5.1872 0.0000
0.0000 0.0000 5.3743
I Sb Te W
1 1 2 1
Direct
0.5000 0.5000 0.5000
0.0000 0.0000 0.5000
0.0000 0.5000 0.0000
0.5000 0.0000 0.0000
0.0000 0.0000 0.0000
```



Record 24
Li3IrF | GGA-PBEsol | optimized geometry

## Properties
uncorrected formation energy: -0.76 eV per atom
symmetry: Pm-3m, No. 221
spin magnetization: 0.50 μB per formula unit
N(E_F): 3.2 states/eV/cell
VASP energy: -4.2930 eV/atom

```
Li3IrF
1.0
-2.8079 1.0798 2.4124
1.3422 -2.4495 2.6587
2.2769 2.7756 1.4078
Ir Li F
1 3 1
Direct
0.5000 0.5000 0.5000
0.0000 0.5000 0.0000
0.0000 0.0000 0.5000
0.5000 0.0000 0.0000
0.0000 0.0000 0.0000
```



Record 25
Sn3Ge | GGA-PBEsol | optimized geometry

## Properties
ΔE_f: 0.118 eV/atom
symmetry: I4/mmm, No. 139
spin magnetization: 0.00 μB per formula unit
N(E_F): 2.0 states/eV/cell
VASP energy: -4.3110 eV/atom

```
Sn3Ge
1.0
4.6449 0.0000 0.0000
0.0000 4.6449 0.0000
-2.3224 -2.3224 4.5361
Sn Ge
3 1
Direct
0.2500 0.7500 0.5000
0.7500 0.2500 0.5000
0.5000 0.5000 0.0000
0.0000 0.0000 0.0000
```